# 1
Material: SrZn2AsH2
Method: DFT, PBE
State: relaxed

Summary:
Theoretical density (g/cm3): 4.814
DOS(E_F) (states/eV/f.u.): 1.299
DFT total energy (eV/atom): -2.830

abc: 6.071 5.789 6.411
angles: 90.00 115.25 90.00
Sites, in units of the cell vectors:
Sr 0.245 0.250 0.020
Sr 0.755 0.750 0.980
Zn 0.228 0.509 0.464
Zn 0.228 0.991 0.464
Zn 0.772 0.009 0.536
Zn 0.772 0.491 0.536
As 0.188 0.750 0.783
As 0.812 0.250 0.217
H 0.190 0.750 0.274
H 0.387 0.250 0.475
H 0.613 0.750 0.525
H 0.810 0.250 0.726

# 2
Material: HfS2N
Method: DFT, PBE
State: relaxed

Summary:
Theoretical density (g/cm3): 6.346
DOS(E_F) (states/eV/f.u.): 2.402
DFT total energy (eV/atom): -6.720

abc: 3.497 3.497 19.022
angles: 90.00 90.00 120.00
Sites, in units of the cell vectors:
Hf 0.000 0.000 0.000
Hf 0.333 0.667 0.667
Hf 0.667 0.333 0.333
S 0.000 0.000 0.417
S 0.000 0.000 0.583
S 0.333 0.667 0.083
S 0.333 0.667 0.250
S 0.667 0.333 0.750
S 0.667 0.333 0.917
N 0.000 0.000 0.500
N 0.333 0.667 0.167
N 0.667 0.333 0.833

Copy entry 2 word for word.
Material: HfS2N
Method: DFT, PBE
State: relaxed

Summary:
Theoretical density (g/cm3): 6.346
DOS(E_F) (states/eV/f.u.): 2.402
DFT total energy (eV/atom): -6.720

abc: 3.497 3.497 19.022
angles: 90.00 90.00 120.00
Sites, in units of the cell vectors:
Hf 0.000 0.000 0.000
Hf 0.333 0.667 0.667
Hf 0.667 0.333 0.333
S 0.000 0.000 0.417
S 0.000 0.000 0.583
S 0.333 0.667 0.083
S 0.333 0.667 0.250
S 0.667 0.333 0.750
S 0.667 0.333 0.917
N 0.000 0.000 0.500
N 0.333 0.667 0.167
N 0.667 0.333 0.833

What did the second record say?
Material: HfS2N
Method: DFT, PBE
State: relaxed

Summary:
Theoretical density (g/cm3): 6.346
DOS(E_F) (states/eV/f.u.): 2.402
DFT total energy (eV/atom): -6.720

abc: 3.497 3.497 19.022
angles: 90.00 90.00 120.00
Sites, in units of the cell vectors:
Hf 0.000 0.000 0.000
Hf 0.333 0.667 0.667
Hf 0.667 0.333 0.333
S 0.000 0.000 0.417
S 0.000 0.000 0.583
S 0.333 0.667 0.083
S 0.333 0.667 0.250
S 0.667 0.333 0.750
S 0.667 0.333 0.917
N 0.000 0.000 0.500
N 0.333 0.667 0.167
N 0.667 0.333 0.833